# 1
Entry from Alexandria via LeMat-Bulk: a crystal of Cd2CuPt2 relaxed with PBEsol (SCAN).

Energy in eV per cell: -435.2
Total moment in μB/f.u.: 0.000
Crystal system: tetragonal

Cell lengths 6.4637, 6.4637, 4.1213 Å; angles 90.00, 90.00, 90.00 degrees
Space group P4/mbm (No. 127)
One atom of each set of equivalent atoms:
Cd 0.1655 0.3345 0.0000 x4
Cu 0.0000 0.0000 0.5000 x2
Pt 0.1413 0.6413 0.5000 x4

# 2
Entry from Alexandria via LeMat-Bulk: a crystal of CrPHO5 relaxed with PBEsol (SCAN).

Energy in eV per cell: -160.2
Total moment in μB/f.u.: 2.000
Crystal system: triclinic

Cell lengths 5.1162, 5.1323, 7.0351 Å; angles 104.89, 107.53, 101.88 degrees
Space group P-1 (No. 2)
One atom of each set of equivalent atoms:
Cr 0.0000 0.0000 0.0000 x1
Cr 0.0000 0.0000 0.5000 x1
P 0.3220 0.6748 0.2636 x2
H 0.3307 0.9595 0.8115 x2
O 0.1123 0.6904 0.3798 x2
O 0.1186 0.9425 0.7654 x2
O 0.2410 0.3745 0.1070 x2
O 0.3218 0.8898 0.1414 x2
O 0.3686 0.2474 0.5757 x2

# 3
Entry from Alexandria via LeMat-Bulk: a crystal of ZnNiAsBr2 relaxed with PBEsol (SCAN).

Energy in eV per cell: -87.2
Formation energy from raw total energies in meV per atom: 323
Total moment in μB/f.u.: 0.003
Crystal system: tetragonal

Cell lengths 4.9297, 4.9297, 4.4981 Å; angles 90.00, 90.00, 90.00 degrees
Space group P4/mmm (No. 123)
One atom of each set of equivalent atoms:
Zn 0.0000 0.0000 0.0000 x1
Ni 0.5000 0.5000 0.5000 x1
As 0.5000 0.5000 0.0000 x1
Br 0.0000 0.5000 0.5000 x2

# 4
Entry from Alexandria via LeMat-Bulk: a crystal of LiGaSb2S relaxed with PBEsol (SCAN).

Energy in eV per cell: -102.6
Formation energy from raw total energies in meV per atom: 54
Total moment in μB/f.u.: 0.000
Crystal system: tetragonal

Cell lengths 5.2393, 5.2393, 4.3767 Å; angles 90.00, 90.00, 90.00 degrees
Space group P4/mmm (No. 123)
One atom of each set of equivalent atoms:
Li 0.0000 0.0000 0.0000 x1
Ga 0.5000 0.5000 0.0000 x1
Sb 0.0000 0.5000 0.5000 x2
S 0.0000 0.0000 0.5000 x1

# 5
Entry from Alexandria via LeMat-Bulk: a crystal of NaPt relaxed with PBEsol (SCAN).

Energy in eV per cell: -450.4
Total moment in μB/f.u.: 0.001
Crystal system: trigonal

Cell lengths 4.4100, 4.4100, 13.7942 Å; angles 90.00, 90.00, 120.00 degrees
Space group R-3m (No. 166, hexagonal axes)
One atom of each set of equivalent atoms:
Na 0.0000 0.0000 0.1161 x6
Pt 0.0000 0.0000 0.3342 x6

# 6
Entry from Alexandria via LeMat-Bulk: a crystal of Ho5Bi2Pd relaxed with PBEsol (SCAN).

Energy in eV per cell: -1765.2
Total moment in μB/f.u.: 0.000
Crystal system: orthorhombic

Cell lengths 12.1009, 8.9413, 7.8803 Å; angles 90.00, 90.00, 90.00 degrees
Space group Pnma (No. 62)
One atom of each set of equivalent atoms:
Ho 0.0004 0.2500 0.0434 x4
Ho 0.0657 0.0491 0.6803 x8
Ho 0.1993 0.7500 0.3695 x4
Ho 0.2116 0.2500 0.3367 x4
Bi 0.1735 0.5088 0.0691 x8
Pd 0.0153 0.7500 0.5840 x4

# 7
Entry from Alexandria via LeMat-Bulk: a crystal of PIrSe2 relaxed with PBEsol (SCAN).

Energy in eV per cell: -237.3
Formation energy from raw total energies in meV per atom: 757
Total moment in μB/f.u.: 0.000
Crystal system: orthorhombic

Cell lengths 2.8222, 4.9586, 9.6544 Å; angles 90.00, 90.00, 90.00 degrees
Space group Cmmm (No. 65)
One atom of each set of equivalent atoms:
P 0.0000 0.0000 0.0000 x2
Ir 0.0000 0.0000 0.5000 x2
Se 0.0000 0.5000 0.2764 x4

# 8
Entry from Alexandria via LeMat-Bulk: a crystal of Ba2P7Br relaxed with PBEsol (SCAN).

Energy in eV per cell: -360.6
Formation energy from raw total energies in meV per atom: -894
Total moment in μB/f.u.: 0.000
Crystal system: monoclinic

Cell lengths 6.2566, 6.7913, 11.8212 Å; angles 90.00, 95.87, 90.00 degrees
Space group P2_1/m (No. 11)
One atom of each set of equivalent atoms:
Ba 0.0665 0.2500 0.3526 x2
Ba 0.2883 0.2500 0.9536 x2
P 0.1635 0.7500 0.4064 x2
P 0.1656 0.7500 0.2219 x2
P 0.3561 0.0778 0.6861 x4
P 0.3738 0.5017 0.1958 x4
P 0.4941 0.2500 0.5497 x2
Br 0.1554 0.7500 0.9145 x2

# 9
Entry from Alexandria via LeMat-Bulk: a crystal of MgTlPt2 relaxed with PBEsol (SCAN).

Energy in eV per cell: -219.3
Total moment in μB/f.u.: 0.000
Crystal system: tetragonal

Cell lengths 2.9553, 2.9553, 7.7829 Å; angles 90.00, 90.00, 90.00 degrees
Space group P4/mmm (No. 123)
One atom of each set of equivalent atoms:
Mg 0.0000 0.0000 0.0000 x1
Tl 0.0000 0.0000 0.5000 x1
Pt 0.5000 0.5000 0.2298 x2

# 10
Entry from Alexandria via LeMat-Bulk: a crystal of Cs2NaTcPb relaxed with PBEsol (SCAN).

Energy in eV per cell: -185.3
Total moment in μB/f.u.: 4.000
Crystal system: tetragonal

Cell lengths 6.2507, 6.2507, 5.6986 Å; angles 90.00, 90.00, 90.00 degrees
Space group P4/mmm (No. 123)
One atom of each set of equivalent atoms:
Cs 0.0000 0.5000 0.0000 x2
Na 0.0000 0.0000 0.0000 x1
Tc 0.5000 0.5000 0.5000 x1
Pb 0.0000 0.0000 0.5000 x1

# 11
Entry from Alexandria via LeMat-Bulk: a crystal of TiGe2 relaxed with PBEsol (SCAN).

Energy in eV per cell: -445.0
Total moment in μB/f.u.: 0.000
Crystal system: orthorhombic

Cell lengths 5.0043, 8.5166, 8.7110 Å; angles 90.00, 90.00, 90.00 degrees
Space group Fddd (No. 70, origin choice 2)
One atom of each set of equivalent atoms:
Ti 0.1250 0.1250 0.1250 x8
Ge 0.1250 0.2941 0.6250 x16

# 12
Entry from Alexandria via LeMat-Bulk: a crystal of KSr4Se relaxed with PBEsol (SCAN).

Energy in eV per cell: -465.7
Formation energy from raw total energies in meV per atom: 183
Total moment in μB/f.u.: 1.244
Crystal system: cubic

Cell lengths 10.5541, 10.5541, 10.5541 Å; angles 90.00, 90.00, 90.00 degrees
Space group F-43m (No. 216)
One atom of each set of equivalent atoms:
K 0.0000 0.0000 0.0000 x4
Sr 0.1244 0.1244 0.6244 x16
Se 0.2500 0.2500 0.2500 x4

Computed V (Å³/cell) in order:
172.2 162.0 109.3 120.1 232.3 852.6 135.1 499.7 68.0 222.7 371.3 1175.6